[1]
# Ba3Fe2BrO5 | Alexandria via LeMat-Bulk | PBE with a Hubbard U | optimized geometry
# **Volume**: 208.9 Å³ per cell
# **Density of states at the Fermi level**: 0.457 states/eV/atom
# **Final energy**: -65.74 eV/cell
# **SG**: P4/mmm
# **Crystal system**: tetragonal
data_Ba3Fe2BrO5
_chemical_formula_sum 'Ba3 Fe2 Br1 O5'
_cell_length_a 4.1291
_cell_length_b 4.1291
_cell_length_c 12.2536
_cell_angle_alpha 90.00
_cell_angle_beta 90.00
_cell_angle_gamma 90.00
_symmetry_space_group_name_H-M 'P 1'
_symmetry_Int_Tables_number 1
_symmetry_space_group_name_Hall 'P 1'
loop_
_atom_site_label
_atom_site_fract_x
_atom_site_fract_y
_atom_site_fract_z
Ba1 0.0000 0.0000 0.0000
Ba2 0.0000 0.0000 0.3157
Ba3 0.0000 0.0000 0.6843
Fe1 0.5000 0.5000 0.1582
Fe2 0.5000 0.5000 0.8418
Br1 0.5000 0.5000 0.5000
O1 0.0000 0.5000 0.1885
O2 0.0000 0.5000 0.8115
O3 0.5000 0.0000 0.1885
O4 0.5000 0.0000 0.8115
O5 0.5000 0.5000 0.0000

[2]
# BaZr2MoF | Alexandria via LeMat-Bulk | PBE with a Hubbard U | optimized geometry
# **Volume**: 132.4 Å³ per cell
# **Density of states at the Fermi level**: 1.178 states/eV/atom
# **Final energy**: -25.39 eV/cell
# **SG**: P4/mmm
# **Crystal system**: tetragonal
data_BaZr2MoF
_chemical_formula_sum 'Ba1 Zr2 Mo1 F1'
_cell_length_a 5.4645
_cell_length_b 5.4645
_cell_length_c 4.4347
_cell_angle_alpha 90.00
_cell_angle_beta 90.00
_cell_angle_gamma 90.00
_symmetry_space_group_name_H-M 'P 1'
_symmetry_Int_Tables_number 1
_symmetry_space_group_name_Hall 'P 1'
loop_
_atom_site_label
_atom_site_fract_x
_atom_site_fract_y
_atom_site_fract_z
Ba1 0.0000 0.0000 0.0000
Zr1 0.0000 0.5000 0.5000
Zr2 0.5000 0.0000 0.5000
Mo1 0.5000 0.5000 0.5000
F1 0.5000 0.5000 0.0000